A plane-wave DFT calculation with PBE-GGA was carried out for an optimized crystal structure of BaOs3S.

```
BaOs3S
1.0
5.176 0.000 0.000
0.000 5.176 0.000
0.000 0.000 5.176
S Os Ba
1 3 1
direct
0.500 0.500 0.500
0.000 0.500 0.000
0.000 0.000 0.500
0.500 0.000 0.000
0.000 0.000 0.000
```

Properties
Energy = -3.943 eV/atom
ΔE to the lowest computed polymorph = 2.944 eV/atom
Formation energy (no corrections) = 4.00 eV/atom